1.
12
Lattice="7.3968 0.0000 0.0000 0.0000 4.1789 0.0000 0.0000 0.0000 8.7884" Properties=species:S:1:pos:R:3 comment="PrAgPd PBE optimized geometry" sg="Pnma, No. 62" dft_energy_ev_per_cell=-58.24 formation_enthalpy_0k_kj_per_mol_atoms=-55.9 crystal_system=orthorhombic pbc="T T T"
Pr 0.4269 1.0447 1.6668
Pr 3.2715 3.1341 6.0610
Pr 4.1253 1.0447 2.7275
Pr 6.9699 3.1341 7.1217
Ag 0.9252 1.0447 4.9412
Ag 2.7732 3.1341 0.5470
Ag 4.6236 1.0447 8.2415
Ag 6.4716 3.1341 3.8473
Pd 1.7306 1.0447 7.6993
Pd 1.9678 3.1341 3.3051
Pd 5.4290 1.0447 5.4833
Pd 5.6662 3.1341 1.0891

2.
16
Lattice="7.3674 0.0000 0.0000 0.0000 10.0602 0.0000 0.0000 0.0000 6.4888" Properties=species:S:1:pos:R:3 comment="PmPr2Rh PBE optimized geometry" sg="Pnma, No. 62" dft_energy_ev_per_cell=-93.25 formation_enthalpy_0k_kj_per_mol_atoms=-39.9 crystal_system=orthorhombic pbc="T T T"
Pm 0.2635 2.5151 0.9714
Pm 3.4202 7.5452 4.2158
Pm 3.9472 2.5151 2.2730
Pm 7.1039 7.5452 5.5175
Pr 1.2981 0.6667 4.3396
Pr 1.2981 4.3634 4.3396
Pr 2.3856 5.6968 1.0952
Pr 2.3856 9.3935 1.0952
Pr 4.9818 0.6667 5.3936
Pr 4.9818 4.3634 5.3936
Pr 6.0693 5.6968 2.1492
Pr 6.0693 9.3935 2.1492
Rh 0.9065 7.5452 2.8364
Rh 2.7772 2.5151 6.0808
Rh 4.5902 7.5452 0.4080
Rh 6.4609 2.5151 3.6524

Values of magnetization, in order: 0.000 0.000, all in μB/atom.